Run one
Density functional theory data (PBE) for crystalline ScAsBr at its relaxed geometry.

```
data_ScAsBr
_space_group_name_H-M_alt 'P -1'
_space_group_IT_number 2
_cell_length_a 3.6698
_cell_length_b 7.0622
_cell_length_c 7.2371
_cell_angle_alpha 69.22
_cell_angle_beta 75.46
_cell_angle_gamma 75.76
loop_
_space_group_symop_operation_xyz
'x,y,z'
'-x,-y,-z'
loop_
_atom_site_label
_atom_site_type_symbol
_atom_site_fract_x
_atom_site_fract_y
_atom_site_fract_z
Sc1 Sc 0.1340 0.4403 0.2837
As1 As 0.4737 0.6841 0.3970
Br1 Br 0.1817 0.7461 0.9031
```

Calculated values
- total magnetization (μB per formula unit) = 0.000
- N(E_F) (states/eV/f.u.) = 0.45

***

Run two
Density functional theory data (PBE) for crystalline ScAsBr at its relaxed geometry.

```
data_ScAsBr
_space_group_name_H-M_alt 'F -4 3 m'
_space_group_IT_number 216
_space_group_name_Hall 'F -4 2 3'
_cell_length_a 6.6500
_cell_length_b 6.6500
_cell_length_c 6.6500
_cell_angle_alpha 90.00
_cell_angle_beta 90.00
_cell_angle_gamma 90.00
loop_
_atom_site_label
_atom_site_type_symbol
_atom_site_fract_x
_atom_site_fract_y
_atom_site_fract_z
Sc1 Sc 0.0000 0.0000 0.0000
As1 As 0.2500 0.2500 0.2500
Br1 Br 0.2500 0.2500 0.7500
```

Calculated values
- total magnetization (μB per formula unit) = 0.000
- N(E_F) (states/eV/f.u.) = 3.65

***

Run three
Density functional theory data (PBE) for crystalline ScAsBr at its relaxed geometry.

```
data_ScAsBr
_space_group_name_H-M_alt 'C 1 c 1'
_space_group_IT_number 9
_cell_length_a 7.1730
_cell_length_b 8.3682
_cell_length_c 5.1223
_cell_angle_alpha 90.00
_cell_angle_beta 111.01
_cell_angle_gamma 90.00
loop_
_space_group_symop_operation_xyz
'x,y,z'
'x,-y,z+1/2'
'x+1/2,y+1/2,z'
'x+1/2,-y+1/2,z+1/2'
loop_
_atom_site_label
_atom_site_type_symbol
_atom_site_fract_x
_atom_site_fract_y
_atom_site_fract_z
Sc1 Sc 0.0000 0.1567 0.0000
As1 As 0.3083 0.0489 0.4317
Br1 Br 0.3111 0.3629 0.9126
```

Calculated values
- total magnetization (μB per formula unit) = 0.000
- N(E_F) (states/eV/f.u.) = 1.07

***

Most stable of them? run one.

***

Run one
Density functional theory data (PBE) for crystalline ScAsBr at its relaxed geometry.

```
data_ScAsBr
_space_group_name_H-M_alt 'P -6 m 2'
_space_group_IT_number 187
_space_group_name_Hall 'P -6 2'
_cell_length_a 4.6933
_cell_length_b 4.6933
_cell_length_c 3.3656
_cell_angle_alpha 90.00
_cell_angle_beta 90.00
_cell_angle_gamma 120.00
loop_
_atom_site_label
_atom_site_type_symbol
_atom_site_fract_x
_atom_site_fract_y
_atom_site_fract_z
Sc1 Sc 0.0000 0.0000 0.0000
As1 As 0.3333 0.6667 0.5000
Br1 Br 0.6667 0.3333 0.0000
```

Calculated values
- total magnetization (μB per formula unit) = 0.000
- N(E_F) (states/eV/f.u.) = 2.36

***

Run two
Density functional theory data (PBE) for crystalline ScAsBr at its relaxed geometry.

```
data_ScAsBr
_space_group_name_H-M_alt 'I 4 m m'
_space_group_IT_number 107
_space_group_name_Hall 'I 4 -2'
_cell_length_a 3.2716
_cell_length_b 3.2716
_cell_length_c 14.1078
_cell_angle_alpha 90.00
_cell_angle_beta 90.00
_cell_angle_gamma 90.00
loop_
_atom_site_label
_atom_site_type_symbol
_atom_site_fract_x
_atom_site_fract_y
_atom_site_fract_z
Sc1 Sc 0.0000 0.0000 0.0000
As1 As 0.0000 0.0000 0.3770
Br1 Br 0.0000 0.0000 0.6260
```

Calculated values
- total magnetization (μB per formula unit) = 0.000
- N(E_F) (states/eV/f.u.) = 0.90

***

Run three
Density functional theory data (PBE) for crystalline ScAsBr at its relaxed geometry.

```
data_ScAsBr
_space_group_name_H-M_alt 'F -4 3 m'
_space_group_IT_number 216
_space_group_name_Hall 'F -4 2 3'
_cell_length_a 6.7758
_cell_length_b 6.7758
_cell_length_c 6.7758
_cell_angle_alpha 90.00
_cell_angle_beta 90.00
_cell_angle_gamma 90.00
loop_
_atom_site_label
_atom_site_type_symbol
_atom_site_fract_x
_atom_site_fract_y
_atom_site_fract_z
Sc1 Sc 0.0000 0.0000 0.0000
As1 As 0.2500 0.2500 0.7500
Br1 Br 0.0000 0.0000 0.5000
```

Calculated values
- total magnetization (μB per formula unit) = 0.000
- N(E_F) (states/eV/f.u.) = 5.32

***

Most stable of them? run two.

***

Run one
Density functional theory data (PBE) for crystalline ScAsBr at its relaxed geometry.

```
data_ScAsBr
_space_group_name_H-M_alt 'C 1 m 1'
_space_group_IT_number 8
_cell_length_a 12.9771
_cell_length_b 4.6775
_cell_length_c 5.8801
_cell_angle_alpha 90.00
_cell_angle_beta 96.18
_cell_angle_gamma 90.00
loop_
_space_group_symop_operation_xyz
'x,y,z'
'x,-y,z'
'x+1/2,y+1/2,z'
'x+1/2,-y+1/2,z'
loop_
_atom_site_label
_atom_site_type_symbol
_atom_site_fract_x
_atom_site_fract_y
_atom_site_fract_z
Sc1 Sc 0.0000 0.0000 0.0000
Sc2 Sc 0.0380 0.5000 0.4870
As1 As 0.0937 0.5000 0.9630
As2 As 0.4134 0.0000 0.1030
Br1 Br 0.1481 0.0000 0.4298
Br2 Br 0.3977 0.5000 0.5888
```

Calculated values
- total magnetization (μB per formula unit) = 0.000

***

Run two
Density functional theory data (PBE) for crystalline ScAsBr at its relaxed geometry.

```
data_ScAsBr
_space_group_name_H-M_alt 'P 3 m 1'
_space_group_IT_number 156
_cell_length_a 3.6109
_cell_length_b 3.6109
_cell_length_c 7.1280
_cell_angle_alpha 90.00
_cell_angle_beta 90.00
_cell_angle_gamma 120.00
loop_
_space_group_symop_operation_xyz
'x,y,z'
'-y,x-y,z'
'-x+y,-x,z'
'-y,-x,z'
'-x+y,y,z'
'x,x-y,z'
loop_
_atom_site_label
_atom_site_type_symbol
_atom_site_fract_x
_atom_site_fract_y
_atom_site_fract_z
Sc1 Sc 0.0000 0.0000 0.0000
As1 As 0.6667 0.3333 0.2508
Br1 Br 0.3333 0.6667 0.7516
```

Calculated values
- total magnetization (μB per formula unit) = 0.000
- N(E_F) (states/eV/f.u.) = 1.31

***

Most stable of them? run one.